No. 1
Ga3PtO: optimized geometry, PBE.

Results
SG	Pm-3m
ΔE to the lowest computed polymorph	0.906	eV/f.u.

Cell lengths 4.773, 4.773, 4.773 Å; angles 90.00, 90.00, 90.00 degrees
Element x y z (fractional)
Ga (0.000, 0.000, 0.500)
Ga (0.000, 0.500, 0.000)
Ga (0.500, 0.000, 0.000)
Pt (0.000, 0.000, 0.000)
O (0.500, 0.500, 0.500)

=====

No. 2
GaPt2O6: optimized geometry, PBE.

Results
SG	P-31m

Cell lengths 5.151, 5.151, 4.297 Å; angles 90.00, 90.00, 120.00 degrees
Element x y z (fractional)
Ga (0.000, 0.000, 0.000)
Pt (0.333, 0.667, 0.500)
Pt (0.667, 0.333, 0.500)
O (0.000, 0.342, 0.754)
O (0.000, 0.658, 0.246)
O (0.342, 0.000, 0.754)
O (0.342, 0.342, 0.246)
O (0.658, 0.000, 0.246)
O (0.658, 0.658, 0.754)

=====

No. 3
GaPtO2: optimized geometry, PBE.

Results
SG	I-42d

Cell lengths 5.031, 5.031, 8.574 Å; angles 90.00, 90.00, 90.00 degrees
Element x y z (fractional)
Ga (0.000, 0.000, 0.000)
Ga (0.000, 0.500, 0.250)
Ga (0.500, 0.000, 0.750)
Ga (0.500, 0.500, 0.500)
Pt (0.000, 0.000, 0.500)
Pt (0.000, 0.500, 0.750)
Pt (0.500, 0.000, 0.250)
Pt (0.500, 0.500, 0.000)
O (0.174, 0.250, 0.125)
O (0.250, 0.674, 0.375)
O (0.250, 0.826, 0.875)
O (0.326, 0.250, 0.625)
O (0.674, 0.750, 0.625)
O (0.750, 0.174, 0.875)
O (0.750, 0.326, 0.375)
O (0.826, 0.750, 0.125)

=====

No. 4
GaPtO2: optimized geometry, PBE.

Results
SG	Fm-3m

Cell lengths 5.647, 5.647, 5.647 Å; angles 90.00, 90.00, 90.00 degrees
Element x y z (fractional)
Ga (0.000, 0.000, 0.000)
Ga (0.000, 0.500, 0.500)
Ga (0.500, 0.000, 0.500)
Ga (0.500, 0.500, 0.000)
Pt (0.000, 0.000, 0.500)
Pt (0.000, 0.500, 0.000)
Pt (0.500, 0.000, 0.000)
Pt (0.500, 0.500, 0.500)
O (0.250, 0.250, 0.250)
O (0.250, 0.250, 0.750)
O (0.250, 0.750, 0.250)
O (0.250, 0.750, 0.750)
O (0.750, 0.250, 0.250)
O (0.750, 0.250, 0.750)
O (0.750, 0.750, 0.250)
O (0.750, 0.750, 0.750)

=====

No. 5
GaPtO2: optimized geometry, PBE.

Results
SG	R-3m

Cell lengths 2.925, 2.925, 18.435 Å; angles 90.00, 90.00, 120.00 degrees
Element x y z (fractional)
Ga (0.000, 0.000, 0.000)
Ga (0.333, 0.667, 0.667)
Ga (0.667, 0.333, 0.333)
Pt (0.000, 0.000, 0.500)
Pt (0.333, 0.667, 0.167)
Pt (0.667, 0.333, 0.833)
O (0.000, 0.000, 0.389)
O (0.000, 0.000, 0.611)
O (0.333, 0.667, 0.056)
O (0.333, 0.667, 0.277)
O (0.667, 0.333, 0.723)
O (0.667, 0.333, 0.944)

=====

No. 6
Ga3PtO: optimized geometry, PBE.

Results
SG	Pm-3m
ΔE to the lowest computed polymorph	0.000	eV/f.u.

Cell lengths 4.276, 4.276, 4.276 Å; angles 90.00, 90.00, 90.00 degrees
Element x y z (fractional)
Ga (0.000, 0.000, 0.500)
Ga (0.000, 0.500, 0.000)
Ga (0.500, 0.000, 0.000)
Pt (0.500, 0.500, 0.500)
O (0.000, 0.000, 0.000)

=====

No. 7
GaPtO2: optimized geometry, PBE.

Results
SG	R-3m

Cell lengths 3.236, 3.236, 18.723 Å; angles 90.00, 90.00, 120.00 degrees
Element x y z (fractional)
Ga (0.000, 0.000, 0.000)
Ga (0.333, 0.667, 0.667)
Ga (0.667, 0.333, 0.333)
Pt (0.000, 0.000, 0.500)
Pt (0.333, 0.667, 0.167)
Pt (0.667, 0.333, 0.833)
O (0.000, 0.000, 0.115)
O (0.000, 0.000, 0.885)
O (0.333, 0.667, 0.552)
O (0.333, 0.667, 0.782)
O (0.667, 0.333, 0.218)
O (0.667, 0.333, 0.448)

=====

No. 8
GaPtO4: optimized geometry, PBE.

Results
SG	P-1

Cell lengths 3.138, 5.253, 5.702 Å; angles 63.43, 74.29, 90.00 degrees
Element x y z (fractional)
Ga (0.000, 0.000, 0.000)
Pt (0.500, 0.500, 0.000)
O (0.100, 0.437, 0.798)
O (0.406, 0.075, 0.191)
O (0.594, 0.925, 0.809)
O (0.900, 0.563, 0.202)

=====

No. 9
GaPtO2: optimized geometry, PBE.

Results
SG	P6_3/mmc

Cell lengths 2.952, 2.952, 12.338 Å; angles 90.00, 90.00, 120.00 degrees
Element x y z (fractional)
Ga (0.000, 0.000, 0.000)
Ga (0.000, 0.000, 0.500)
Pt (0.333, 0.667, 0.250)
Pt (0.667, 0.333, 0.750)
O (0.333, 0.667, 0.083)
O (0.333, 0.667, 0.417)
O (0.667, 0.333, 0.583)
O (0.667, 0.333, 0.917)

=====

No. 10
GaPt2O: optimized geometry, PBE.

Results
SG	Fm-3m
ΔE to the lowest computed polymorph	0.283	eV/f.u.

Cell lengths 6.002, 6.002, 6.002 Å; angles 90.00, 90.00, 90.00 degrees
Element x y z (fractional)
Ga (0.000, 0.000, 0.000)
Ga (0.000, 0.500, 0.500)
Ga (0.500, 0.000, 0.500)
Ga (0.500, 0.500, 0.000)
Pt (0.250, 0.250, 0.250)
Pt (0.250, 0.250, 0.750)
Pt (0.250, 0.750, 0.250)
Pt (0.250, 0.750, 0.750)
Pt (0.750, 0.250, 0.250)
Pt (0.750, 0.250, 0.750)
Pt (0.750, 0.750, 0.250)
Pt (0.750, 0.750, 0.750)
O (0.000, 0.000, 0.500)
O (0.000, 0.500, 0.000)
O (0.500, 0.000, 0.000)
O (0.500, 0.500, 0.500)

=====

No. 11
PuGaPtO6: optimized geometry, PBE.

Results
SG	P-31c

Cell lengths 5.265, 5.265, 8.822 Å; angles 90.00, 90.00, 120.00 degrees
Element x y z (fractional)
Pu (0.333, 0.667, 0.250)
Pu (0.667, 0.333, 0.750)
Ga (0.333, 0.667, 0.750)
Ga (0.667, 0.333, 0.250)
Pt (0.000, 0.000, 0.000)
Pt (0.000, 0.000, 0.500)
O (0.016, 0.339, 0.625)
O (0.016, 0.677, 0.875)
O (0.323, 0.339, 0.875)
O (0.323, 0.984, 0.625)
O (0.339, 0.016, 0.125)
O (0.339, 0.323, 0.375)
O (0.661, 0.677, 0.625)
O (0.661, 0.984, 0.875)
O (0.677, 0.016, 0.375)
O (0.677, 0.661, 0.125)
O (0.984, 0.323, 0.125)
O (0.984, 0.661, 0.375)

=====

No. 12
GaPtRhO6: optimized geometry, PBE.

Results
SG	P-31c

Cell lengths 5.108, 5.108, 8.427 Å; angles 90.00, 90.00, 120.00 degrees
Element x y z (fractional)
Ga (0.333, 0.667, 0.250)
Ga (0.667, 0.333, 0.750)
Pt (0.333, 0.667, 0.750)
Pt (0.667, 0.333, 0.250)
Rh (0.000, 0.000, 0.000)
Rh (0.000, 0.000, 0.500)
O (0.006, 0.342, 0.125)
O (0.006, 0.664, 0.375)
O (0.336, 0.342, 0.375)
O (0.336, 0.994, 0.125)
O (0.342, 0.006, 0.625)
O (0.342, 0.336, 0.875)
O (0.658, 0.664, 0.125)
O (0.658, 0.994, 0.375)
O (0.664, 0.006, 0.875)
O (0.664, 0.658, 0.625)
O (0.994, 0.336, 0.625)
O (0.994, 0.658, 0.875)

=====

No. 13
GaRuPtO6: optimized geometry, PBE.

Results
SG	P-31c

Cell lengths 5.085, 5.085, 8.539 Å; angles 90.00, 90.00, 120.00 degrees
Element x y z (fractional)
Ga (0.333, 0.667, 0.250)
Ga (0.667, 0.333, 0.750)
Ru (0.333, 0.667, 0.750)
Ru (0.667, 0.333, 0.250)
Pt (0.000, 0.000, 0.000)
Pt (0.000, 0.000, 0.500)
O (0.001, 0.344, 0.626)
O (0.001, 0.656, 0.874)
O (0.344, 0.001, 0.126)
O (0.344, 0.344, 0.374)
O (0.344, 0.344, 0.874)
O (0.344, 0.999, 0.626)
O (0.656, 0.001, 0.374)
O (0.656, 0.656, 0.126)
O (0.656, 0.656, 0.626)
O (0.656, 0.999, 0.874)
O (0.999, 0.344, 0.126)
O (0.999, 0.656, 0.374)

=====

No. 14
ScGaPt2O: optimized geometry, PBE.

Results
SG	P4/mmm

Cell lengths 4.759, 4.759, 5.538 Å; angles 90.00, 90.00, 90.00 degrees
Element x y z (fractional)
Sc (0.000, 0.000, 0.000)
Ga (0.000, 0.000, 0.500)
Pt (0.000, 0.500, 0.000)
Pt (0.500, 0.000, 0.000)
O (0.500, 0.500, 0.500)

=====

No. 15
GaSiPt2O: optimized geometry, PBE.

Results
SG	P4/mmm

Cell lengths 4.501, 4.501, 3.819 Å; angles 90.00, 90.00, 90.00 degrees
Element x y z (fractional)
Ga (0.000, 0.000, 0.000)
Si (0.500, 0.500, 0.000)
Pt (0.000, 0.500, 0.500)
Pt (0.500, 0.000, 0.500)
O (0.000, 0.000, 0.500)

=====

No. 16
Sr2GaPtO4: optimized geometry, PBE.

Results
SG	I-4

Cell lengths 6.224, 6.224, 6.443 Å; angles 90.00, 90.00, 90.00 degrees
Element x y z (fractional)
Sr (0.000, 0.000, 0.000)
Sr (0.000, 0.500, 0.250)
Sr (0.500, 0.000, 0.750)
Sr (0.500, 0.500, 0.500)
Ga (0.000, 0.500, 0.750)
Ga (0.500, 0.000, 0.250)
Pt (0.000, 0.000, 0.500)
Pt (0.500, 0.500, 0.000)
O (0.158, 0.681, 0.569)
O (0.181, 0.342, 0.931)
O (0.319, 0.158, 0.431)
O (0.342, 0.819, 0.069)
O (0.658, 0.181, 0.069)
O (0.681, 0.842, 0.431)
O (0.819, 0.658, 0.931)
O (0.842, 0.319, 0.569)

=====

No. 17
SrGaPtO6: optimized geometry, PBE.

Results
SG	P-31c

Cell lengths 5.239, 5.239, 10.845 Å; angles 90.00, 90.00, 120.00 degrees
Element x y z (fractional)
Sr (0.000, 0.000, 0.000)
Sr (0.000, 0.000, 0.500)
Ga (0.333, 0.667, 0.250)
Ga (0.667, 0.333, 0.750)
Pt (0.333, 0.667, 0.750)
Pt (0.667, 0.333, 0.250)
O (0.006, 0.376, 0.650)
O (0.006, 0.631, 0.850)
O (0.369, 0.376, 0.850)
O (0.369, 0.994, 0.650)
O (0.376, 0.006, 0.150)
O (0.376, 0.369, 0.350)
O (0.624, 0.631, 0.650)
O (0.624, 0.994, 0.850)
O (0.631, 0.006, 0.350)
O (0.631, 0.624, 0.150)
O (0.994, 0.369, 0.150)
O (0.994, 0.624, 0.350)

=====

No. 18
Sr2GaPtO6: optimized geometry, PBE.

Results
SG	P2_1/c

Cell lengths 5.637, 5.602, 9.728 Å; angles 90.00, 125.39, 90.00 degrees
Element x y z (fractional)
Sr (0.245, 0.027, 0.250)
Sr (0.245, 0.473, 0.750)
Sr (0.755, 0.527, 0.250)
Sr (0.755, 0.973, 0.750)
Ga (0.500, 0.000, 0.000)
Ga (0.500, 0.500, 0.500)
Pt (0.000, 0.000, 0.500)
Pt (0.000, 0.500, 0.000)
O (0.187, 0.217, 0.968)
O (0.187, 0.283, 0.468)
O (0.248, 0.720, 0.966)
O (0.248, 0.780, 0.466)
O (0.314, 0.007, 0.751)
O (0.314, 0.493, 0.251)
O (0.686, 0.507, 0.749)
O (0.686, 0.993, 0.249)
O (0.752, 0.220, 0.534)
O (0.752, 0.280, 0.034)
O (0.813, 0.717, 0.532)
O (0.813, 0.783, 0.032)

=====

No. 19
TaGaPtO6: optimized geometry, PBE.

Results
SG	P4_2nm

Cell lengths 4.677, 4.677, 9.283 Å; angles 90.00, 90.00, 90.00 degrees
Element x y z (fractional)
Ta (0.000, 0.000, 0.000)
Ta (0.500, 0.500, 0.500)
Ga (0.000, 0.000, 0.334)
Ga (0.500, 0.500, 0.834)
Pt (0.000, 0.000, 0.667)
Pt (0.500, 0.500, 0.167)
O (0.193, 0.193, 0.498)
O (0.194, 0.194, 0.164)
O (0.197, 0.197, 0.838)
O (0.303, 0.697, 0.338)
O (0.306, 0.694, 0.664)
O (0.307, 0.693, 0.998)
O (0.693, 0.307, 0.998)
O (0.694, 0.306, 0.664)
O (0.697, 0.303, 0.338)
O (0.803, 0.803, 0.838)
O (0.806, 0.806, 0.164)
O (0.807, 0.807, 0.498)

=====

No. 20
TaGa2PtO: optimized geometry, PBE.

Results
SG	P4/mmm

Cell lengths 5.196, 5.196, 4.794 Å; angles 90.00, 90.00, 90.00 degrees
Element x y z (fractional)
Ta (0.000, 0.000, 0.000)
Ga (0.000, 0.500, 0.000)
Ga (0.500, 0.000, 0.000)
Pt (0.000, 0.000, 0.500)
O (0.500, 0.500, 0.500)

=====

Here are the calculated formation energy (no corrections) numbers, same order: -0.079, -0.706, -0.580, 0.069, -1.188, -0.260, -0.334, -0.862, -1.192, 0.034, -1.572, -0.813, -0.903, 1.049, 0.255, -1.745, -1.225, -1.782, -1.738, 1.204 (eV per atom).
Here are the calculated calculated total energy numbers, same order: -20.47, -51.21, -85.22, -74.83, -71.21, -21.38, -60.96, -34.07, -47.51, -79.73, -134.59, -106.97, -112.44, -21.15, -24.21, -92.45, -103.05, -119.99, -132.62, -22.89 (eV/cell).